Compound: BaPmPt2
Source: Alexandria
Functional: PBE-GGA
Structure: relaxed

a b c (Å): 4.2431 4.2431 22.7312
angles (deg): 90.00 90.00 120.00
Space group R3m (No. 160, hexagonal axes)
Unique sites:
Ba: 0.0000 0.0000 0.0000
Pm: 0.0000 0.0000 0.1714
Pt: 0.0000 0.0000 0.5759
Pt: 0.0000 0.0000 0.7657

M_tot (μB per formula unit): 0.0
Energy of formation (meV per atom): -792.4
Polymorph energy (0 for the lowest one) (meV/atom): 122
VASP energy (eV/atom): -5.481
Crystal system: trigonal